Record 1
This record from the Alexandria database describes Cs2PdBr6Cl after structural relaxation. The functional is PBE-GGA.

Computed properties:
* uncorrected formation energy: -8.46 eV/f.u.

Cell lengths 8.0201, 8.0201, 8.0201 Å; angles 123.08, 123.08, 84.75 degrees
Positions (direct):
Cs (0.2500, 0.7500, 0.5000)
Cs (0.7500, 0.2500, 0.5000)
Pd (0.0000, 0.0000, 0.0000)
Br (0.2107, 0.2107, 0.0000)
Br (0.2369, 0.2369, 0.4738)
Br (0.2369, 0.7631, 0.0000)
Br (0.7631, 0.2369, 0.0000)
Br (0.7631, 0.7631, 0.5262)
Br (0.7893, 0.7893, 0.0000)
Cl (0.5000, 0.5000, 0.0000)

=====

Record 2
This record from the Alexandria database describes Cs2PdBrCl5 after structural relaxation. The functional is PBE-GGA.

Computed properties:
* uncorrected formation energy: -10.45 eV/f.u.

Cell lengths 7.4698, 7.4698, 7.4698 Å; angles 118.95, 118.95, 91.82 degrees
Positions (direct):
Cs (0.0000, 0.5000, 0.5000)
Cs (0.5000, 0.0000, 0.5000)
Pd (0.2504, 0.2504, 0.0000)
Br (0.0099, 0.0099, 0.0000)
Cl (0.0303, 0.0303, 0.5607)
Cl (0.0303, 0.4696, 0.0000)
Cl (0.4696, 0.0303, 0.0000)
Cl (0.4696, 0.4696, 0.4393)
Cl (0.4787, 0.4787, 0.0000)

=====

Record 3
This record from the Alexandria database describes CsPdBr2Cl6 after structural relaxation. The functional is PBE-GGA.

Computed properties:
* uncorrected formation energy: -5.76 eV/f.u.

Cell lengths 7.3487, 7.6004, 7.7073 Å; angles 63.26, 82.38, 67.70 degrees
Positions (direct):
Cs (0.0000, 0.0000, 0.0000)
Pd (0.6220, 0.5582, 0.2912)
Br (0.3830, 0.5824, 0.8027)
Br (0.7754, 0.9108, 0.5053)
Cl (0.3504, 0.7212, 0.4434)
Cl (0.3842, 0.4698, 0.1407)
Cl (0.5512, 0.8931, 0.0325)
Cl (0.6742, 0.2264, 0.5680)
Cl (0.8805, 0.5998, 0.4651)
Cl (0.8879, 0.4198, 0.1316)

=====

Record 4
This record from the Alexandria database describes Cs2PmBr3Cl3 after structural relaxation. The functional is PBE-GGA.

Computed properties:
* uncorrected formation energy: -15.32 eV/f.u.

Cell lengths 9.0090, 9.0090, 4.4290 Å; angles 90.00, 90.00, 120.00 degrees
Positions (direct):
Cs (0.3333, 0.6667, 0.0000)
Cs (0.6667, 0.3333, 0.0000)
Pm (0.0000, 0.0000, 0.5000)
Br (0.0000, 0.3406, 0.5000)
Br (0.3406, 0.0000, 0.5000)
Br (0.6594, 0.6594, 0.5000)
Cl (0.0000, 0.7848, 0.0000)
Cl (0.2152, 0.2152, 0.0000)
Cl (0.7848, 0.0000, 0.0000)

=====

Record 5
This record from the Alexandria database describes CsPtBrCl2 after structural relaxation. The functional is PBE-GGA.

Computed properties:
* uncorrected formation energy: -4.39 eV/f.u.

Cell lengths 5.0793, 5.0793, 5.3046 Å; angles 90.00, 90.00, 90.00 degrees
Positions (direct):
Cs (0.0000, 0.0000, 0.0000)
Pt (0.5000, 0.5000, 0.5000)
Br (0.5000, 0.5000, 0.0000)
Cl (0.0000, 0.5000, 0.5000)
Cl (0.5000, 0.0000, 0.5000)

=====

Record 6
This record from the Alexandria database describes Cs2PuBr5Cl after structural relaxation. The functional is PBE-GGA.

Computed properties:
* uncorrected formation energy: -14.90 eV/f.u.

Cell lengths 7.9925, 7.9925, 7.9925 Å; angles 119.78, 119.78, 90.39 degrees
Positions (direct):
Cs (0.0000, 0.5000, 0.5000)
Cs (0.5000, 0.0000, 0.5000)
Pu (0.2516, 0.2516, 0.0000)
Br (0.0059, 0.0059, 0.0000)
Br (0.0057, 0.0057, 0.5119)
Br (0.0057, 0.4939, 0.0000)
Br (0.4939, 0.0057, 0.0000)
Br (0.4939, 0.4939, 0.4881)
Cl (0.4810, 0.4810, 0.0000)

=====

Record 7
This record from the Alexandria database describes CsPuBr2Cl6 after structural relaxation. The functional is PBE-GGA.

Computed properties:
* uncorrected formation energy: -12.74 eV/f.u.

Cell lengths 7.2851, 7.4976, 7.7836 Å; angles 82.71, 83.87, 69.17 degrees
Positions (direct):
Cs (0.0000, 0.0000, 0.0000)
Pu (0.5001, 0.0007, 0.5003)
Br (0.1494, 0.4263, 0.0712)
Br (0.8510, 0.5736, 0.9294)
Cl (0.1466, 0.1964, 0.5671)
Cl (0.3980, 0.8190, 0.3015)
Cl (0.4744, 0.7579, 0.7568)
Cl (0.5258, 0.2433, 0.2436)
Cl (0.6022, 0.1825, 0.6989)
Cl (0.8537, 0.8050, 0.4336)

=====

Record 8
This record from the Alexandria database describes CsPuBrCl3 after structural relaxation. The functional is PBE-GGA.

Computed properties:
* uncorrected formation energy: -11.07 eV/f.u.

Cell lengths 8.6753, 8.6753, 7.4564 Å; angles 92.01, 92.01, 53.78 degrees
Positions (direct):
Cs (0.2091, 0.2091, 0.2614)
Cs (0.7909, 0.7909, 0.7386)
Pu (0.4610, 0.4610, 0.7150)
Pu (0.5390, 0.5390, 0.2850)
Br (0.2525, 0.7475, 0.0000)
Br (0.7475, 0.2525, 0.0000)
Cl (0.1922, 0.6078, 0.4371)
Cl (0.3000, 0.3000, 0.8252)
Cl (0.3922, 0.8078, 0.5629)
Cl (0.6078, 0.1922, 0.4371)
Cl (0.7000, 0.7000, 0.1748)
Cl (0.8078, 0.3922, 0.5629)

=====

Record 9
This record from the Alexandria database describes CsPuBrCl2 after structural relaxation. The functional is PBE-GGA.

Computed properties:
* uncorrected formation energy: -8.77 eV/f.u.

Cell lengths 5.5956, 5.5956, 5.9345 Å; angles 90.00, 90.00, 90.00 degrees
Positions (direct):
Cs (0.0000, 0.0000, 0.0000)
Pu (0.5000, 0.5000, 0.5006)
Br (0.5000, 0.5000, 0.0008)
Cl (0.0000, 0.5000, 0.5020)
Cl (0.5000, 0.0000, 0.5020)

=====

Record 10
This record from the Alexandria database describes Cs2PuBr3Cl3 after structural relaxation. The functional is PBE-GGA.

Computed properties:
* uncorrected formation energy: -14.37 eV/f.u.

Cell lengths 8.9272, 8.9272, 4.3716 Å; angles 90.00, 90.00, 120.00 degrees
Positions (direct):
Cs (0.3333, 0.6667, 0.0000)
Cs (0.6667, 0.3333, 0.0000)
Pu (0.0000, 0.0000, 0.5000)
Br (0.0000, 0.6617, 0.5000)
Br (0.3383, 0.3383, 0.5000)
Br (0.6617, 0.0000, 0.5000)
Cl (0.0000, 0.2106, 0.0000)
Cl (0.2106, 0.0000, 0.0000)
Cl (0.7894, 0.7894, 0.0000)

=====

Record 11
This record from the Alexandria database describes Cs3Pu2Br5Cl2 after structural relaxation. The functional is PBE-GGA.

Computed properties:
* uncorrected formation energy: -19.99 eV/f.u.

Cell lengths 15.0970, 15.0970, 15.0970 Å; angles 157.48, 157.48, 32.06 degrees
Positions (direct):
Cs (0.0000, 0.0000, 0.0000)
Cs (0.1833, 0.1833, 0.0000)
Cs (0.8167, 0.8167, 0.0000)
Pu (0.3965, 0.3965, 0.0000)
Pu (0.6035, 0.6035, 0.0000)
Br (0.0985, 0.5985, 0.5000)
Br (0.4015, 0.9015, 0.5000)
Br (0.5000, 0.5000, 0.0000)
Br (0.5985, 0.0985, 0.5000)
Br (0.9015, 0.4015, 0.5000)
Cl (0.3010, 0.3010, 0.0000)
Cl (0.6990, 0.6990, 0.0000)

=====

Record 12
This record from the Alexandria database describes Cs2PuBr4Cl2 after structural relaxation. The functional is PBE-GGA.

Computed properties:
* uncorrected formation energy: -15.25 eV/f.u.

Cell lengths 7.8066, 7.8066, 6.5579 Å; angles 92.02, 92.02, 61.01 degrees
Positions (direct):
Cs (0.1683, 0.1683, 0.2604)
Cs (0.8317, 0.8317, 0.7396)
Pu (0.5000, 0.5000, 0.0000)
Br (0.1623, 0.6642, 0.2283)
Br (0.3358, 0.8377, 0.7717)
Br (0.6642, 0.1623, 0.2283)
Br (0.8377, 0.3358, 0.7717)
Cl (0.3416, 0.3416, 0.7621)
Cl (0.6584, 0.6584, 0.2379)